Entry from Alexandria: a geometry-optimized Sr4Li structure (PBE-GGA).

Unit cell a=7.310 b=6.991 c=10.171 alpha=90.00 beta=90.00 gamma=71.97
Atoms (fractional coordinates):
Sr1 0.209 0.950 0.345
Sr2 0.791 0.550 0.345
Sr3 0.253 0.480 0.101
Sr4 0.747 0.020 0.101
Sr5 0.747 0.520 0.899
Sr6 0.253 0.980 0.899
Sr7 0.209 0.450 0.655
Sr8 0.791 0.050 0.655
Li1 0.500 0.750 0.611
Li2 0.500 0.250 0.389

Results
- Energy relative to the elements: 91 meV/atom
- Symmetry: P2/c (13)
- D(E_F): 5.6 states/eV/f.u.
- Polymorph energy (0 for the lowest one): 1.873 kcal/mol of atoms



Entry from Alexandria: a geometry-optimized Zn12Ge3Sb5 structure (PBE-GGA).

Unit cell a=13.364 b=13.364 c=13.364 alpha=109.47 beta=109.47 gamma=109.47
Atoms (fractional coordinates):
Ge1 0.750 0.375 0.125
Ge2 0.875 0.750 0.125
Ge3 0.375 0.750 0.625
Ge4 0.250 0.125 0.375
Ge5 0.875 0.125 0.250
Ge6 0.375 0.625 0.250
Ge7 0.625 0.375 0.750
Ge8 0.125 0.875 0.750
Ge9 0.750 0.875 0.625
Ge10 0.625 0.250 0.375
Ge11 0.125 0.250 0.875
Ge12 0.250 0.625 0.875
Sb1 0.125 0.375 0.250
Sb2 0.000 0.500 0.000
Sb3 0.000 0.000 0.000
Sb4 0.375 0.250 0.125
Sb5 0.500 0.000 0.500
Sb6 0.500 0.500 0.000
Sb7 0.125 0.750 0.375
Sb8 0.750 0.125 0.875
Sb9 0.750 0.625 0.375
Sb10 0.375 0.125 0.750
Sb11 0.625 0.875 0.250
Sb12 0.500 0.500 0.500
Sb13 0.500 0.000 0.000
Sb14 0.000 0.000 0.500
Sb15 0.250 0.375 0.625
Sb16 0.250 0.875 0.125
Sb17 0.000 0.500 0.500
Sb18 0.875 0.250 0.625
Sb19 0.625 0.750 0.875
Sb20 0.875 0.625 0.750
Zn1 0.742 0.134 0.070
Zn2 0.328 0.570 0.436
Zn3 0.930 0.366 0.258
Zn4 0.570 0.242 0.134
Zn5 0.608 0.742 0.672
Zn6 0.930 0.564 0.172
Zn7 0.328 0.758 0.392
Zn8 0.064 0.892 0.134
Zn9 0.564 0.930 0.672
Zn10 0.742 0.608 0.172
Zn11 0.758 0.430 0.366
Zn12 0.828 0.936 0.070
Zn13 0.134 0.742 0.570
Zn14 0.366 0.436 0.108
Zn15 0.108 0.936 0.366
Zn16 0.392 0.134 0.564
Zn17 0.108 0.172 0.242
Zn18 0.430 0.672 0.064
Zn19 0.828 0.892 0.258
Zn20 0.134 0.392 0.064
Zn21 0.366 0.930 0.758
Zn22 0.564 0.634 0.392
Zn23 0.936 0.828 0.570
Zn24 0.758 0.328 0.892
Zn25 0.436 0.366 0.608
Zn26 0.064 0.172 0.430
Zn27 0.242 0.672 0.108
Zn28 0.172 0.108 0.742
Zn29 0.634 0.070 0.242
Zn30 0.866 0.608 0.936
Zn31 0.570 0.328 0.936
Zn32 0.608 0.866 0.436
Zn33 0.892 0.828 0.758
Zn34 0.892 0.064 0.634
Zn35 0.866 0.258 0.430
Zn36 0.172 0.064 0.930
Zn37 0.634 0.564 0.892
Zn38 0.436 0.070 0.328
Zn39 0.258 0.392 0.828
Zn40 0.242 0.570 0.634
Zn41 0.936 0.108 0.866
Zn42 0.672 0.242 0.608
Zn43 0.430 0.758 0.866
Zn44 0.070 0.436 0.828
Zn45 0.392 0.258 0.328
Zn46 0.070 0.634 0.742
Zn47 0.672 0.430 0.564
Zn48 0.258 0.866 0.930

Results
- Symmetry: Ia-3d (230)
- D(E_F): 7.1 states/eV/f.u.
- Formation energy (no corrections): 0.1013 eV/atom



Entry from Alexandria: a geometry-optimized GaHRh3 structure (PBE-GGA).

Unit cell a=2.839 b=4.725 c=4.725 alpha=105.69 beta=90.00 gamma=90.00
Atoms (fractional coordinates):
H1 0.500 0.019 0.981
Rh1 0.500 0.156 0.361
Rh2 0.500 0.639 0.844
Rh3 0.000 0.164 0.836
Ga1 0.000 0.649 0.351

Results
- Symmetry: Amm2 (38)
- D(E_F): 4.9 states/eV/f.u.
- Polymorph energy (0 for the lowest one): 2.316 kcal/mol of atoms



Entry from Alexandria: a geometry-optimized AlPtW2 structure (PBE-GGA).

Unit cell a=2.740 b=2.740 c=8.422 alpha=90.00 beta=90.00 gamma=100.98
Atoms (fractional coordinates):
W1 0.000 0.000 0.993
W2 0.500 0.500 0.258
Pt1 0.500 0.500 0.738
Al1 0.000 0.000 0.511

Results
- Energy relative to the elements: -192 meV/atom
- Symmetry: Cmm2 (35)
- D(E_F): 2.4 states/eV/f.u.



Entry from Alexandria: a geometry-optimized Ho2Ga5Pd structure (PBE-GGA).

Unit cell a=5.986 b=5.986 c=5.986 alpha=89.96 beta=120.02 gamma=120.02
Atoms (fractional coordinates):
Ho1 0.500 0.278 0.778
Ho2 0.500 0.778 0.278
Ga1 0.502 0.779 0.779
Ga2 0.000 0.779 0.277
Ga3 0.000 0.277 0.779
Ga4 0.498 0.277 0.277
Ga5 0.000 0.280 0.280
Pd1 0.000 0.776 0.776

Results
- Energy relative to the elements: -578 meV/atom
- Symmetry: I4mm (107)
- D(E_F): 3.2 states/eV/f.u.



Entry from Alexandria: a geometry-optimized BaZnIrCl2 structure (PBE-GGA).

Unit cell a=4.651 b=9.135 c=4.651 alpha=90.00 beta=90.00 gamma=90.00
Atoms (fractional coordinates):
Zn1 0.000 0.000 0.000
Ir1 0.500 0.500 0.500
Ba1 0.000 0.500 0.000
Cl1 0.000 0.000 0.500
Cl2 0.500 0.000 0.000

Results
- Symmetry: P4/mmm (123)
- D(E_F): 2.6 states/eV/f.u.
- Formation energy (no corrections): 0.0390 eV/atom



Entry from Alexandria: a geometry-optimized Pm5Mg2Ru4 structure (PBE-GGA).

Unit cell a=3.534 b=7.979 c=10.113 alpha=113.33 beta=100.06 gamma=90.00
Atoms (fractional coordinates):
Pm1 0.162 0.928 0.324
Pm2 0.838 0.072 0.676
Pm3 0.162 0.396 0.324
Pm4 0.500 0.000 0.000
Pm5 0.838 0.604 0.676
Mg1 0.573 0.573 0.146
Mg2 0.427 0.427 0.854
Ru1 0.723 0.723 0.446
Ru2 0.000 0.711 0.001
Ru3 0.277 0.277 0.554
Ru4 0.000 0.289 0.999

Results
- Energy relative to the elements: -57 meV/atom
- Symmetry: C2/m (12)
- D(E_F): 7.1 states/eV/f.u.



Entry from Alexandria: a geometry-optimized CaSi2Ni2 structure (PBE-GGA).

Unit cell a=3.977 b=3.977 c=5.653 alpha=69.41 beta=69.41 gamma=90.00
Atoms (fractional coordinates):
Ni1 0.371 0.371 0.259
Ni2 0.629 0.629 0.741
Ca1 0.000 0.000 0.000
Si1 0.750 0.250 0.500
Si2 0.250 0.750 0.500

Results
- Symmetry: I4/mmm (139)
- D(E_F): 2.5 states/eV/f.u.
- Formation energy (no corrections): -0.5123 eV/atom